The following is a DFT calculation (PBE) of crystalline K2CuMo at its relaxed geometry.

Output
Energy relative to the lowest polymorph listed for this composition = 558 meV per atom
SG = No. 225

Cell: 5.8302 5.8302 5.8302 Å, 60.00 60.00 60.00°
Last column: nearest neighbours and their distance in Å.
Sites, in units of the cell vectors:
1 K 0.2500 0.2500 0.2500  4 Mo 3.57, 4 Cu 3.57
2 K 0.7500 0.7500 0.7500  4 Mo 3.57, 4 Cu 3.57
3 Cu 0.0000 0.0000 0.0000  8 K 3.57
4 Mo 0.5000 0.5000 0.5000  8 K 3.57

---

The following is a DFT calculation (PBE) of crystalline Sm3Y2HoAs6 at its relaxed geometry.

Output
SG = No. 12

Cell: 9.3117 9.3117 8.3275 Å, 102.87 102.87 25.86°
Last column: nearest neighbours and their distance in Å.
Sites, in units of the cell vectors:
1 Sm 0.0000 0.0000 0.0000  6 As 2.97
2 Sm 0.3332 0.3332 0.6667  6 As 2.97
3 Sm 0.6668 0.6668 0.3333  6 As 2.97
4 Y 0.3334 0.3334 0.1669  6 As 2.92-2.93
5 Y 0.6666 0.6666 0.8331  6 As 2.92-2.93
6 Ho 0.0000 0.0000 0.5000  6 As 2.92
7 As 0.1650 0.1650 0.5858  1 Ho 2.92, 2 Y 2.93, 3 Sm 2.97
8 As 0.1678 0.1678 0.0803  3 Y 2.93, 3 Sm 2.97
9 As 0.4989 0.4989 0.2543  2 Ho 2.92, 1 Y 2.92, 3 Sm 2.97
10 As 0.5011 0.5011 0.7457  2 Ho 2.92, 1 Y 2.92, 3 Sm 2.97
11 As 0.8322 0.8322 0.9197  3 Y 2.93, 3 Sm 2.97
12 As 0.8350 0.8350 0.4142  1 Ho 2.92, 2 Y 2.93, 3 Sm 2.97

---

The following is a DFT calculation (PBE) of crystalline SmGa4RuPt2 at its relaxed geometry.

Output
SG = No. 166

Cell: 9.1293 9.1293 9.1293 Å, 27.06 27.06 27.06°
Last column: nearest neighbours and their distance in Å.
Sites, in units of the cell vectors:
1 Sm 0.0000 0.0000 0.0000  6 Ga 3.02
2 Ga 0.1330 0.1330 0.1330  3 Ru 2.62, 4 Pt 2.65-2.74
3 Ga 0.3997 0.3997 0.3997  3 Pt 2.59, 1 Ru 2.65
4 Ga 0.6003 0.6003 0.6003  3 Pt 2.59, 1 Ru 2.65
5 Ga 0.8670 0.8670 0.8670  3 Ru 2.62, 4 Pt 2.65-2.74
6 Ru 0.5000 0.5000 0.5000  8 Ga 2.62-2.65
7 Pt 0.2371 0.2371 0.2371  7 Ga 2.59-2.74
8 Pt 0.7629 0.7629 0.7629  7 Ga 2.59-2.74

---

The following is a DFT calculation (PBE) of crystalline YTi2PN at its relaxed geometry.

Output
SG = No. 123

Cell: 4.9754 4.9754 4.8764 Å, 90.00 90.00 90.00°
Last column: nearest neighbours and their distance in Å.
Sites, in units of the cell vectors:
1 Y 0.0000 0.0000 0.0000  2 P 2.44, 4 Ti 2.49
2 Ti 0.0000 0.5000 0.0000  2 Y 2.49
3 Ti 0.5000 0.0000 0.0000  2 Y 2.49
4 P 0.0000 0.0000 0.5000  2 Y 2.44
5 N 0.5000 0.5000 0.5000  8 Ti 3.48, 4 P 3.52

---

The following is a DFT calculation (PBE) of crystalline BC2 at its relaxed geometry.

Output
Energy relative to the lowest polymorph listed for this composition = 123 meV per atom
SG = No. 2

Cell: 4.5585 4.5643 4.5818 Å, 70.64 81.58 60.44°
Last column: nearest neighbours and their distance in Å.
Sites, in units of the cell vectors:
1 B 0.0018 0.0845 0.2413  3 C 1.59-1.60
2 B 0.3330 0.2691 0.6804  4 C 1.63-1.68
3 B 0.6670 0.7309 0.3196  4 C 1.63-1.68
4 B 0.9982 0.9155 0.7587  3 C 1.59-1.60
5 C 0.0104 0.4471 0.1804  2 C 1.54-1.56, 2 B 1.60-1.67
6 C 0.3303 0.4027 0.3033  3 C 1.54-1.56, 1 B 1.63
7 C 0.3333 0.7629 0.1705  2 C 1.54-1.56, 2 B 1.59-1.68
8 C 0.3541 0.8803 0.8159  2 C 1.54-1.56, 2 B 1.60-1.63
9 C 0.6459 0.1197 0.1841  2 C 1.54-1.56, 2 B 1.60-1.63
10 C 0.6667 0.2371 0.8295  2 C 1.54-1.56, 2 B 1.59-1.68
11 C 0.6697 0.5973 0.6967  3 C 1.54-1.56, 1 B 1.63
12 C 0.9896 0.5529 0.8196  2 C 1.54-1.56, 2 B 1.60-1.67

---

The following is a DFT calculation (PBE) of crystalline PbW2Au at its relaxed geometry.

Output
SG = No. 99

Cell: 3.2353 3.2353 7.6815 Å, 90.00 90.00 90.00°
Last column: nearest neighbours and their distance in Å.
Sites, in units of the cell vectors:
1 Pb 0.0000 0.0000 0.0000  5 W 3.21-3.55, 4 Pb 3.24, 4 Au 3.25
2 W 0.0000 0.0000 0.4619  4 W 2.63, 4 Au 2.93
3 W 0.5000 0.5000 0.2925  4 W 2.63
4 Au 0.5000 0.5000 0.7002  5 W 2.93-3.13, 4 Au 3.24, 4 Pb 3.25

---

The following is a DFT calculation (PBE) of crystalline Er4Pt6O19 at its relaxed geometry.

Output
SG = No. 197

Cell: 7.8199 7.8199 7.8199 Å, 109.47 109.47 109.47°
Last column: nearest neighbours and their distance in Å.
Sites, in units of the cell vectors:
1 Er 0.0000 0.0000 0.2924  7 O 2.29-2.50
2 Er 0.0000 0.2924 0.0000  7 O 2.29-2.50
3 Er 0.2924 0.0000 0.0000  7 O 2.29-2.50
4 Er 0.7076 0.7076 0.7076  7 O 2.29-2.50
5 Pt 0.1590 0.5000 0.6590  6 O 1.98-2.10
6 Pt 0.3410 0.8410 0.5000  6 O 1.98-2.10
7 Pt 0.5000 0.3410 0.8410  6 O 1.98-2.10
8 Pt 0.5000 0.6590 0.1590  6 O 1.98-2.10
9 Pt 0.6590 0.1590 0.5000  6 O 1.98-2.10
10 Pt 0.8410 0.5000 0.3410  6 O 1.98-2.10
11 O 0.0000 0.0000 0.0000  4 Er 2.29
12 O 0.0000 0.3309 0.3309  2 Pt 2.10
13 O 0.0000 0.6691 0.6691  2 Pt 2.10
14 O 0.0380 0.7381 0.3413  2 Pt 1.98
15 O 0.2619 0.2998 0.6032  2 Pt 1.98
16 O 0.2998 0.6032 0.2619  2 Pt 1.98
17 O 0.3033 0.7002 0.9620  2 Pt 1.98
18 O 0.3309 0.0000 0.3309  2 Pt 2.10
19 O 0.3309 0.3309 0.0000  2 Pt 2.10
20 O 0.3413 0.0380 0.7381  2 Pt 1.98
21 O 0.3968 0.6967 0.6587  2 Pt 1.98
22 O 0.6032 0.2619 0.2998  2 Pt 1.98
23 O 0.6587 0.3968 0.6967  2 Pt 1.98
24 O 0.6691 0.0000 0.6691  2 Pt 2.10
25 O 0.6691 0.6691 0.0000  2 Pt 2.10
26 O 0.6967 0.6587 0.3968  2 Pt 1.98
27 O 0.7002 0.9620 0.3033  2 Pt 1.98
28 O 0.7381 0.3413 0.0380  2 Pt 1.98
29 O 0.9620 0.3033 0.7002  2 Pt 1.98

---

The following is a DFT calculation (PBE) of crystalline TbHoEr at its relaxed geometry.

Output
Energy relative to the lowest polymorph listed for this composition = 54 meV per atom
SG = No. 187

Cell: 5.5741 5.5741 3.4346 Å, 90.00 90.00 120.00°
Last column: nearest neighbours and their distance in Å.
Sites, in units of the cell vectors:
1 Tb 0.0000 0.0000 0.0000  2 Tb 3.43, 6 Er 3.65, 6 Ho 3.65
2 Ho 0.6667 0.3333 0.5000  3 Er 3.22, 2 Ho 3.43
3 Er 0.3333 0.6667 0.5000  3 Ho 3.22, 2 Er 3.43

---

The following is a DFT calculation (PBE) of crystalline U2Si7Pt12 at its relaxed geometry.

Output
SG = No. 147

Cell: 9.9647 9.9647 3.9627 Å, 90.00 90.00 120.00°
Last column: nearest neighbours and their distance in Å.
Sites, in units of the cell vectors:
1 U 0.3333 0.6667 0.2455  6 Pt 3.07-3.09, 6 Si 3.15
2 U 0.6667 0.3333 0.7545  6 Pt 3.07-3.09, 6 Si 3.15
3 Si 0.0000 0.0000 0.5000  6 Pt 2.47
4 Si 0.1139 0.7126 0.7449  6 Pt 2.39-2.66
5 Si 0.2874 0.4013 0.7449  6 Pt 2.39-2.66
6 Si 0.4013 0.1139 0.2551  6 Pt 2.39-2.66
7 Si 0.5987 0.8861 0.7449  6 Pt 2.39-2.66
8 Si 0.7126 0.5987 0.2551  6 Pt 2.39-2.66
9 Si 0.8861 0.2874 0.2551  6 Pt 2.39-2.66
10 Pt 0.0764 0.4562 0.7498  3 Si 2.39-2.66
11 Pt 0.1157 0.2597 0.2406  4 Si 2.44-2.55
12 Pt 0.1440 0.8843 0.2406  4 Si 2.44-2.55
13 Pt 0.2597 0.1440 0.7594  4 Si 2.44-2.55
14 Pt 0.3798 0.9236 0.7498  3 Si 2.39-2.66
15 Pt 0.4562 0.3798 0.2502  3 Si 2.39-2.66
16 Pt 0.5438 0.6202 0.7498  3 Si 2.39-2.66
17 Pt 0.6202 0.0764 0.2502  3 Si 2.39-2.66
18 Pt 0.7403 0.8560 0.2406  4 Si 2.44-2.55
19 Pt 0.8560 0.1157 0.7594  4 Si 2.44-2.55
20 Pt 0.8843 0.7403 0.7594  4 Si 2.44-2.55
21 Pt 0.9236 0.5438 0.2502  3 Si 2.39-2.66

---

The following is a DFT calculation (PBE) of crystalline Sm2ErBi at its relaxed geometry.

Output
Energy relative to the lowest polymorph listed for this composition = 14 meV per atom
SG = No. 123

Cell: 4.8967 4.8967 4.9379 Å, 90.00 90.00 90.00°
Last column: nearest neighbours and their distance in Å.
Sites, in units of the cell vectors:
1 Sm 0.0000 0.5000 0.0000  4 Sm 3.46, 4 Bi 3.48, 4 Er 3.48
2 Sm 0.5000 0.0000 0.0000  4 Sm 3.46, 4 Bi 3.48, 4 Er 3.48
3 Er 0.0000 0.0000 0.5000  4 Bi 3.46, 8 Sm 3.48
4 Bi 0.5000 0.5000 0.5000  4 Er 3.46, 8 Sm 3.48

---

The following is a DFT calculation (PBE) of crystalline Zr2CrPb2 at its relaxed geometry.

Output
SG = No. 127

Cell: 7.2208 7.2208 4.2347 Å, 90.00 90.00 90.00°
Last column: nearest neighbours and their distance in Å.
Sites, in units of the cell vectors:
1 Zr 0.1630 0.3370 0.0000  6 Pb 2.87-3.08
2 Zr 0.3370 0.8370 0.0000  6 Pb 2.87-3.08
3 Zr 0.6630 0.1630 0.0000  6 Pb 2.87-3.08
4 Zr 0.8370 0.6630 0.0000  6 Pb 2.87-3.08
5 Cr 0.0000 0.0000 0.5000  4 Pb 2.76
6 Cr 0.5000 0.5000 0.5000  4 Pb 2.76
7 Pb 0.1469 0.6469 0.5000  2 Cr 2.76, 6 Zr 2.87-3.08, 1 Pb 3.00
8 Pb 0.3531 0.1469 0.5000  2 Cr 2.76, 6 Zr 2.87-3.08, 1 Pb 3.00
9 Pb 0.6469 0.8531 0.5000  2 Cr 2.76, 6 Zr 2.87-3.08, 1 Pb 3.00
10 Pb 0.8531 0.3531 0.5000  2 Cr 2.76, 6 Zr 2.87-3.08, 1 Pb 3.00

---

The following is a DFT calculation (PBE) of crystalline Mg4Ag2Pd at its relaxed geometry.

Output
Energy relative to the lowest polymorph listed for this composition = 84 meV per atom
SG = No. 122

Cell: 7.0750 7.0750 7.0750 Å, 109.34 109.34 109.73°
Last column: nearest neighbours and their distance in Å.
Sites, in units of the cell vectors:
1 Mg 0.1361 0.0324 0.7488  2 Pd 2.73-2.84, 4 Ag 2.78-2.94, 1 Mg 2.94
2 Mg 0.1373 0.5336 0.7512  2 Pd 2.73-2.84, 4 Ag 2.78-2.94, 1 Mg 2.94
3 Mg 0.2836 0.3873 0.2512  2 Pd 2.73-2.84, 4 Ag 2.78-2.94, 1 Mg 2.94
4 Mg 0.4664 0.2176 0.6037  2 Pd 2.73-2.84, 4 Ag 2.78-2.94, 1 Mg 2.94
5 Mg 0.6127 0.8639 0.8963  2 Pd 2.73-2.84, 4 Ag 2.78-2.94, 1 Mg 2.94
6 Mg 0.6139 0.8627 0.3963  2 Pd 2.73-2.84, 4 Ag 2.78-2.94, 1 Mg 2.94
7 Mg 0.7824 0.3861 0.2488  2 Pd 2.73-2.84, 4 Ag 2.78-2.94, 1 Mg 2.94
8 Mg 0.9676 0.7164 0.1037  2 Pd 2.73-2.84, 4 Ag 2.78-2.94, 1 Mg 2.94
9 Ag 0.3750 0.0093 0.1343  8 Mg 2.78-2.94
10 Ag 0.7593 0.6250 0.6343  8 Mg 2.78-2.94
11 Ag 0.8750 0.2407 0.8657  8 Mg 2.78-2.94
12 Ag 0.9907 0.1250 0.3657  8 Mg 2.78-2.94
13 Pd 0.2500 0.7500 0.5000  8 Mg 2.73-2.84
14 Pd 0.5000 0.5000 0.0000  8 Mg 2.73-2.84

---

So what do the calculations give for N(E_F)? Going down the list: 0.207; 0.150; 0.503; 1.241; 0.190; 0.759; 0.622; 1.681; 1.151; 1.146; 0.049; 0.307 states/eV/atom.
So what do the calculations give for raw total energy? Going down the list: -2.86; -6.50; -5.43; -4.87; -8.01; -7.68; -6.61; -4.52; -7.07; -4.84; -6.55; -2.71 eV per atom.
So what do the calculations give for total moment? Going down the list: 5.15; 0.00; 0.00; 0.01; 0.00; 0.00; 1.56; 0.00; 4.57; 0.00; 0.00; 0.00 Bohr magnetons per cell.